A plane-wave DFT calculation with PBE-GGA was carried out for an optimized crystal structure of Tm2Th2Si3.

```
Tm2Th2Si3
1.0
-4.114 -1.062 0.373
3.791 -5.922 0.569
0.055 2.119 6.638
Si Th Tm
3 2 2
direct
0.745 0.491 0.257
0.255 0.509 0.743
0.000 0.000 0.000
0.624 0.247 0.862
0.376 0.753 0.138
0.871 0.742 0.629
0.129 0.258 0.371
```

Symmetry   C2/m (12)
Crystal system   monoclinic



A plane-wave DFT calculation with PBE-GGA was carried out for an optimized crystal structure of TmThSi2.

```
TmThSi2
1.0
3.919 0.000 0.000
0.000 5.795 0.000
0.000 0.000 7.970
Si Th Tm
4 2 2
direct
0.500 0.129 0.963
0.000 0.619 0.539
0.500 0.871 0.463
0.000 0.381 0.039
0.000 0.131 0.678
0.000 0.869 0.178
0.500 0.369 0.320
0.500 0.631 0.820
```

Symmetry   Pmc2_1 (26)
Crystal system   orthorhombic



A plane-wave DFT calculation with PBE-GGA was carried out for an optimized crystal structure of TmTh3Si4.

```
TmTh3Si4
1.0
4.208 0.000 0.000
0.000 6.219 -0.729
-2.104 -2.197 8.164
Si Th Tm
4 3 1
direct
0.629 0.821 0.258
0.371 0.179 0.742
0.371 0.563 0.742
0.629 0.437 0.258
0.000 0.500 0.000
0.806 0.806 0.612
0.194 0.194 0.388
0.500 0.000 0.000
```

Symmetry   Immm (71)
Crystal system   orthorhombic



A plane-wave DFT calculation with PBE-GGA was carried out for an optimized crystal structure of Tm2ThSi4.

```
Tm2ThSi4
1.0
3.818 0.000 -0.870
-0.219 4.112 -0.961
0.082 -0.028 9.168
Tm Si Th
2 4 1
direct
0.817 0.817 0.634
0.183 0.183 0.366
0.348 0.348 0.697
0.932 0.432 0.865
0.068 0.568 0.135
0.652 0.652 0.303
0.500 0.000 0.000
```

Symmetry   Immm (71)
Crystal system   orthorhombic



A plane-wave DFT calculation with PBE-GGA was carried out for an optimized crystal structure of Tm2ThSi.

```
Tm2ThSi
1.0
-2.806 -1.414 1.686
0.151 -3.350 1.213
2.627 1.682 9.556
Si Tm Th
1 2 1
direct
0.000 0.000 0.000
0.266 0.266 0.202
0.734 0.734 0.798
0.500 0.500 0.500
```

Symmetry   R-3m (166)
Crystal system   trigonal



A plane-wave DFT calculation with PBE-GGA was carried out for an optimized crystal structure of TmTh3Si6.

```
TmTh3Si6
1.0
7.611 -0.071 -0.995
-1.125 7.527 -0.995
-0.062 -0.071 7.675
Si Th Tm
12 6 2
direct
0.981 0.909 0.615
0.615 0.981 0.909
0.385 0.019 0.091
0.885 0.591 0.519
0.519 0.885 0.591
0.409 0.481 0.115
0.115 0.409 0.481
0.909 0.615 0.981
0.091 0.385 0.019
0.591 0.519 0.885
0.481 0.115 0.409
0.019 0.091 0.385
0.688 0.812 0.250
0.250 0.688 0.812
0.812 0.250 0.688
0.188 0.750 0.312
0.750 0.312 0.188
0.312 0.188 0.750
0.000 0.000 0.000
0.500 0.500 0.500
```

Symmetry   R-3c (167)
Crystal system   trigonal



A plane-wave DFT calculation with PBE-GGA was carried out for an optimized crystal structure of ThUSi2.

```
ThUSi2
1.0
-1.789 -2.004 -3.740
-1.102 -4.470 0.087
-5.608 -0.982 0.374
Th U Si
1 1 2
direct
0.000 0.000 0.000
0.500 0.500 0.500
0.238 0.238 0.287
0.762 0.762 0.713
```

Symmetry   R-3m (166)
Crystal system   trigonal



A plane-wave DFT calculation with PBE-GGA was carried out for an optimized crystal structure of ThU2Si6.

```
ThU2Si6
1.0
3.951 0.000 0.000
0.000 6.098 -3.521
0.000 0.000 7.041
Si U Th
6 2 1
direct
0.500 0.337 0.337
0.500 0.663 0.000
0.500 0.000 0.337
0.500 0.000 0.663
0.500 0.663 0.663
0.500 0.337 0.000
0.000 0.333 0.667
0.000 0.667 0.333
0.000 0.000 0.000
```

Symmetry   P6/mmm (191)
Crystal system   hexagonal



A plane-wave DFT calculation with PBE-GGA was carried out for an optimized crystal structure of ThUSi.

```
ThUSi
1.0
5.013 0.000 0.000
-2.506 4.341 0.000
0.000 0.000 12.587
U Th Si
4 4 4
direct
0.333 0.667 0.151
0.333 0.667 0.349
0.667 0.333 0.651
0.667 0.333 0.849
0.000 0.000 0.500
0.000 0.000 0.250
0.000 0.000 0.750
0.000 0.000 0.000
0.333 0.667 0.606
0.667 0.333 0.106
0.667 0.333 0.394
0.333 0.667 0.894
```

Symmetry   P6_3/mmc (194)
Crystal system   hexagonal



A plane-wave DFT calculation with PBE-GGA was carried out for an optimized crystal structure of ThUSi.

```
ThUSi
1.0
3.235 0.000 0.000
0.000 4.964 0.000
0.000 -2.482 4.299
Si U Th
1 1 1
direct
0.039 0.000 0.000
0.264 0.667 0.333
0.698 0.333 0.667
```

Symmetry   P3m1 (156)
Crystal system   trigonal



A plane-wave DFT calculation with PBE-GGA was carried out for an optimized crystal structure of ThV2Si2.

```
ThV2Si2
1.0
-0.494 -0.797 -3.868
-3.078 -2.364 0.880
-1.679 5.923 1.041
V Si Th
2 2 1
direct
0.250 0.750 0.500
0.750 0.250 0.500
0.387 0.387 0.774
0.613 0.613 0.226
0.000 0.000 0.000
```

Symmetry   I4/mmm (139)
Crystal system   tetragonal



A plane-wave DFT calculation with PBE-GGA was carried out for an optimized crystal structure of Th2VSi.

```
Th2VSi
1.0
3.288 0.000 0.000
1.644 2.847 0.000
1.644 0.949 10.455
V Th Si
1 2 1
direct
0.000 0.000 0.000
0.912 0.912 0.265
0.088 0.088 0.735
0.500 0.500 0.500
```

Symmetry   R-3m (166)
Crystal system   trigonal



What are the E values for these records? In order: -6.17 -6.41 -6.64 -6.18 -5.59 -6.52 -7.63 -7.35 -8.01 -7.88 -7.90 -6.79 eV per atom.